Computed, not measured: a relaxed structure of Zr3BeTc at the GGA-PBE level of DFT.

a b c (Å): 4.987 4.987 4.987
angles (deg): 90.00 90.00 90.00
Space group Pm-3m (No. 221)
Symmetry-distinct sites (fractional):
Zr 0.000 0.000 0.500
Be 0.500 0.500 0.500
Tc 0.000 0.000 0.000

Output
energy of formation = 0.82 eV/atom
energy above the most stable polymorph in this dataset = 251.9 meV per atom